Entry 1:
First-principles (GGA-PBE) data for a geometry-optimized ErHfSe3 structure, as listed in the Alexandria database.

Cell: 9.379 3.910 13.350 Å, 90.00 90.00 90.00°
Sites, in units of the cell vectors:
Er 0.006 0.250 0.144
Er 0.494 0.750 0.644
Er 0.506 0.250 0.356
Er 0.994 0.750 0.856
Hf 0.163 0.250 0.537
Hf 0.337 0.750 0.037
Hf 0.663 0.250 0.963
Hf 0.837 0.750 0.463
Se 0.006 0.750 0.624
Se 0.166 0.250 0.958
Se 0.194 0.750 0.207
Se 0.306 0.250 0.707
Se 0.334 0.750 0.458
Se 0.494 0.250 0.124
Se 0.506 0.750 0.876
Se 0.666 0.250 0.542
Se 0.694 0.750 0.293
Se 0.806 0.250 0.793
Se 0.834 0.750 0.042
Se 0.994 0.250 0.376

Computed properties:
ΔE_f (raw) = -1.4419 eV/atom

Entry 2:
First-principles (GGA-PBE) data for a geometry-optimized Er2Th2Sc5 structure, as listed in the Alexandria database.

Cell: 9.419 9.419 9.419 Å, 78.48 127.46 126.26°
Sites, in units of the cell vectors:
Er 0.007 0.126 0.133
Er 0.007 0.374 0.381
Er 0.993 0.626 0.619
Er 0.993 0.874 0.867
Th 0.638 0.898 0.239
Th 0.646 0.146 0.500
Th 0.646 0.646 0.000
Th 0.659 0.398 0.761
Sc 0.142 0.062 0.580
Sc 0.148 0.266 0.783
Sc 0.148 0.865 0.382
Sc 0.167 0.483 0.983
Sc 0.167 0.685 0.184
Sc 0.483 0.562 0.420
Sc 0.484 0.365 0.217
Sc 0.484 0.766 0.618
Sc 0.500 0.185 0.017
Sc 0.500 0.983 0.816

Computed properties:
formation energy from the elements = 297 meV per atom

Entry 3:
First-principles (GGA-PBE) data for a geometry-optimized Cs2KInAu structure, as listed in the Alexandria database.

Cell: 7.161 7.161 5.407 Å, 90.00 90.00 90.00°
Sites, in units of the cell vectors:
Cs 0.000 0.500 0.000
Cs 0.500 0.000 0.000
K 0.000 0.000 0.500
In 0.500 0.500 0.500
Au 0.500 0.500 0.000

Computed properties:
formation energy from the elements = -78 meV per atom

Entry 4:
First-principles (GGA-PBE) data for a geometry-optimized Ho5Au2 structure, as listed in the Alexandria database.

Cell: 8.918 8.918 6.937 Å, 95.13 95.13 44.85°
Sites, in units of the cell vectors:
Ho 0.047 0.953 0.750
Ho 0.166 0.281 0.295
Ho 0.281 0.166 0.795
Ho 0.282 0.530 0.050
Ho 0.470 0.718 0.450
Ho 0.530 0.282 0.550
Ho 0.718 0.470 0.950
Ho 0.719 0.834 0.205
Ho 0.834 0.719 0.705
Ho 0.953 0.047 0.250
Au 0.106 0.671 0.444
Au 0.329 0.894 0.056
Au 0.671 0.106 0.944
Au 0.894 0.329 0.556

Computed properties:
formation energy from the elements = -515 meV per atom

Entry 5:
First-principles (GGA-PBE) data for a geometry-optimized VWI structure, as listed in the Alexandria database.

Cell: 8.085 12.771 3.255 Å, 90.00 90.00 90.00°
Sites, in units of the cell vectors:
V 0.125 0.010 0.000
V 0.375 0.010 0.500
V 0.625 0.990 0.000
V 0.875 0.990 0.500
W 0.128 0.848 0.595
W 0.372 0.848 0.095
W 0.628 0.152 0.595
W 0.872 0.152 0.095
I 0.020 0.339 0.227
I 0.480 0.339 0.727
I 0.520 0.661 0.227
I 0.980 0.661 0.727

Computed properties:
ΔE_f (raw) = 0.5191 eV/atom

Entry 6:
First-principles (GGA-PBE) data for a geometry-optimized LaPm2Pr9 structure, as listed in the Alexandria database.

Cell: 5.241 5.241 15.732 Å, 90.00 90.00 90.00°
Sites, in units of the cell vectors:
La 0.000 0.000 0.000
Pm 0.000 0.000 0.334
Pm 0.000 0.000 0.666
Pr 0.000 0.500 0.168
Pr 0.000 0.500 0.500
Pr 0.000 0.500 0.832
Pr 0.500 0.000 0.168
Pr 0.500 0.000 0.500
Pr 0.500 0.000 0.832
Pr 0.500 0.500 0.000
Pr 0.500 0.500 0.335
Pr 0.500 0.500 0.665

Computed properties:
formation energy from the elements = 12 meV per atom

Entry 7:
First-principles (GGA-PBE) data for a geometry-optimized RbSrCa structure, as listed in the Alexandria database.

Cell: 10.472 10.472 10.472 Å, 157.05 157.05 32.69°
Sites, in units of the cell vectors:
Rb 0.000 0.000 0.000
Sr 0.687 0.687 0.000
Ca 0.327 0.327 0.000

Computed properties:
formation energy from the elements = 134 meV per atom

Entry 8:
First-principles (GGA-PBE) data for a geometry-optimized Ho8Tm2Mg structure, as listed in the Alexandria database.

Cell: 8.165 8.165 5.348 Å, 90.00 90.00 103.43°
Sites, in units of the cell vectors:
Ho 0.165 0.165 0.000
Ho 0.199 0.474 0.500
Ho 0.248 0.752 0.000
Ho 0.474 0.199 0.500
Ho 0.526 0.801 0.500
Ho 0.752 0.248 0.000
Ho 0.801 0.526 0.500
Ho 0.835 0.835 0.000
Tm 0.121 0.879 0.500
Tm 0.879 0.121 0.500
Mg 0.500 0.500 0.000

Computed properties:
formation energy from the elements = 171 meV per atom

Repeat the sixth record exactly.
First-principles (GGA-PBE) data for a geometry-optimized LaPm2Pr9 structure, as listed in the Alexandria database.

Cell: 5.241 5.241 15.732 Å, 90.00 90.00 90.00°
Sites, in units of the cell vectors:
La 0.000 0.000 0.000
Pm 0.000 0.000 0.334
Pm 0.000 0.000 0.666
Pr 0.000 0.500 0.168
Pr 0.000 0.500 0.500
Pr 0.000 0.500 0.832
Pr 0.500 0.000 0.168
Pr 0.500 0.000 0.500
Pr 0.500 0.000 0.832
Pr 0.500 0.500 0.000
Pr 0.500 0.500 0.335
Pr 0.500 0.500 0.665

Computed properties:
formation energy from the elements = 12 meV per atom

Please write out number 7 again, unchanged.
First-principles (GGA-PBE) data for a geometry-optimized RbSrCa structure, as listed in the Alexandria database.

Cell: 10.472 10.472 10.472 Å, 157.05 157.05 32.69°
Sites, in units of the cell vectors:
Rb 0.000 0.000 0.000
Sr 0.687 0.687 0.000
Ca 0.327 0.327 0.000

Computed properties:
formation energy from the elements = 134 meV per atom